Arrangement w

A relaxed Y2Sc crystal. Source: Alexandria via LeMat-Bulk, functional GGA-PBE.

a b c (Å): 5.4686 5.4686 3.4410
angles (deg): 90.00 90.00 90.00
Last column: nearest neighbours and their distance in Å.
Atoms (fractional coordinates):
1 Y 0.0000 0.5000 0.0000  4 Sc 3.23, 2 Y 3.44
2 Y 0.5000 0.0000 0.0000  4 Sc 3.23, 2 Y 3.44
3 Sc 0.0000 0.0000 0.5000  8 Y 3.23, 2 Sc 3.44

Space group: P4/mmm
Crystal system: tetragonal
DOS at the Fermi energy in states/eV per atom: 1.874

=====

Arrangement x

A relaxed Y2Sc crystal. Source: Alexandria via LeMat-Bulk, functional GGA-PBE.

a b c (Å): 6.5432 6.5432 8.2241
angles (deg): 102.33 102.33 31.49
Last column: nearest neighbours and their distance in Å.
Atoms (fractional coordinates):
1 Y 0.0000 0.0000 0.0000  8 Y 3.41-3.55, 4 Sc 3.53-3.63
2 Y 0.0513 0.0513 0.6027  5 Sc 3.38-3.43, 7 Y 3.47-3.55
3 Y 0.3797 0.3797 0.2782  4 Sc 3.31-3.51, 8 Y 3.50-3.55
4 Y 0.7230 0.7230 0.9333  3 Sc 3.39-3.54, 9 Y 3.41-3.55
5 Sc 0.3280 0.3280 0.6553  8 Y 3.31-3.63, 4 Sc 3.46-3.55
6 Sc 0.6640 0.6640 0.3351  8 Y 3.36-3.54, 4 Sc 3.46-3.55

Space group: Cm
Crystal system: monoclinic
DOS at the Fermi energy in states/eV per atom: 1.869

=====

Arrangement y

A relaxed Y2Sc crystal. Source: Alexandria via LeMat-Bulk, functional GGA-PBE.

a b c (Å): 5.4582 5.4582 6.8966
angles (deg): 90.00 90.00 120.00
Last column: nearest neighbours and their distance in Å.
Atoms (fractional coordinates):
1 Y 0.0000 0.0000 0.0000  8 Y 3.45-3.59, 6 Sc 3.59
2 Y 0.0000 0.0000 0.5000  8 Y 3.45-3.59, 6 Sc 3.59
3 Y 0.3333 0.6667 0.2500  5 Sc 3.15-3.45
4 Y 0.6667 0.3333 0.7500  5 Sc 3.15-3.45
5 Sc 0.3333 0.6667 0.7500  5 Y 3.15-3.45
6 Sc 0.6667 0.3333 0.2500  5 Y 3.15-3.45

Space group: P6_3/mmc
Crystal system: hexagonal
DOS at the Fermi energy in states/eV per atom: 2.247

=====

Arrangement z

A relaxed Y2Sc crystal. Source: Alexandria via LeMat-Bulk, functional GGA-PBE.

a b c (Å): 7.7616 7.7616 4.9471
angles (deg): 90.00 90.00 143.46
Last column: nearest neighbours and their distance in Å.
Atoms (fractional coordinates):
1 Y 0.0800 0.9200 0.7500  6 Sc 3.40-3.47, 6 Y 3.42-3.52
2 Y 0.2478 0.7522 0.2500  4 Sc 3.46-3.53, 8 Y 3.47-3.52
3 Y 0.7522 0.2478 0.7500  4 Sc 3.46-3.53, 8 Y 3.47-3.52
4 Y 0.9200 0.0800 0.2500  6 Sc 3.40-3.47, 6 Y 3.42-3.52
5 Sc 0.4187 0.5813 0.7500  10 Y 3.40-3.53, 2 Sc 3.44
6 Sc 0.5813 0.4187 0.2500  10 Y 3.40-3.53, 2 Sc 3.44

Space group: Cmcm
Crystal system: orthorhombic
DOS at the Fermi energy in states/eV per atom: 1.642

=====

Ranking the structures above by stability puts arrangement x first and arrangement w last.